First-principles (GGA-PBE) data for KBa2CaHg after structural relaxation, as listed in the Alexandria database.

Lattice parameters (Å, degrees): 7.172 7.172 5.783 90.00 90.00 90.00
Space group P4/mmm (No. 123)
Unique sites:
K  0.000  0.000  0.000 x1
Ba  0.000  0.500  0.500 x2
Ca  0.500  0.500  0.500 x1
Hg  0.500  0.500  0.000 x1

Results
For the formation energy, the calculation gives 0.242 eV/atom. As for the total moment: 1.48 μB/cell.